A relaxed structure of BaSiTc. Source: Alexandria, functional GGA-PBE.

Properties
Offset from the most stable computed form   2069 meV per atom
Formation energy without anion corrections   1773 meV per atom

The structure in POSCAR format:
```
BaSiTc
1.0
-0.7622 1.3305 -4.8735
-0.2357 -3.5950 -3.6226
-4.4552 -1.0524 -2.2685
Si Tc Ba
1 1 1
Cartesian
0.0000 0.0000 0.0000
-2.7265 -1.6585 -5.3823
-4.0897 -2.4877 -8.0735
```



A relaxed structure of PmThCdAu. Source: Alexandria, functional GGA-PBE.

Properties
ΔH_f (0 K)   -0.365 eV per atom

The structure in POSCAR format:
```
PmThCdAu
1.0
5.3315 0.0000 0.0000
2.6657 4.6172 0.0000
2.6657 1.5391 4.3531
Pm Th Au Cd
1 1 1 1
Cartesian
2.6657 1.5391 1.0883
7.9972 4.6172 3.2648
5.3315 3.0781 2.1766
0.0000 0.0000 0.0000
```



A relaxed structure of FePdI2. Source: Alexandria, functional GGA-PBE.

Properties
Offset from the most stable computed form   17 meV per atom
Formation energy without anion corrections   393 meV per atom

The structure in POSCAR format:
```
FePdI2
1.0
-4.1522 3.1962 3.0842
-4.4395 -3.1182 -2.7453
-4.1651 -3.8530 4.3787
I Pd Fe
4 2 2
Cartesian
-4.4698 -2.4088 -0.1354
-10.4973 -2.7203 3.6698
-6.4899 -2.9618 3.3220
-4.0565 0.5408 2.5790
0.0000 0.0000 0.0000
-6.3066 -0.3089 3.8162
-4.2958 0.0390 0.1695
-6.4502 -3.4661 0.9015
```



A relaxed structure of Zr2AsBr2. Source: Alexandria, functional GGA-PBE.

Properties
Formation energy without anion corrections   -237 meV per atom

The structure in POSCAR format:
```
Zr2AsBr2
1.0
-2.4659 2.4659 4.8721
2.4659 -2.4659 4.8721
2.4659 2.4659 -4.8721
Zr Br As
2 2 1
Cartesian
2.4659 0.0000 2.4361
0.0000 2.4659 2.4361
0.0000 0.0000 6.2929
0.0000 0.0000 3.4514
0.0000 0.0000 0.0000
```



A relaxed structure of CaTb3Th2Bi6. Source: Alexandria, functional GGA-PBE.

Properties
ΔH_f (0 K)   -0.785 eV per atom

The structure in POSCAR format:
```
CaTb3Th2Bi6
1.0
4.5544 0.0000 0.0000
0.0000 9.0989 0.3318
-2.2772 -2.6167 9.5492
Tb Bi Th Ca
3 6 2 1
Cartesian
2.2772 4.5494 0.1659
2.2772 -0.2370 6.4485
0.0000 6.7191 3.4325
2.2772 -0.1611 3.2404
0.0000 6.7824 0.2762
2.2772 4.4702 3.3665
0.0000 6.6432 6.6406
0.0000 2.0120 6.5145
2.2772 -0.3003 9.6048
2.2772 4.3460 6.6394
0.0000 2.1361 3.2416
2.2772 0.0000 0.0000
```



A relaxed structure of Zn2Sn. Source: Alexandria, functional GGA-PBE.

Properties
ΔH_f (0 K)   0.147 eV per atom

The structure in POSCAR format:
```
Zn2Sn
1.0
3.1952 0.0000 0.0000
0.0000 3.1952 0.0000
-1.5976 -1.5976 5.8208
Sn Zn
1 2
Cartesian
0.0000 0.0000 0.0000
0.0000 0.0000 3.6603
1.5976 1.5976 2.1605
```



A relaxed structure of TbNd2Dy3. Source: Alexandria, functional GGA-PBE.

Properties
Offset from the most stable computed form   0 meV per atom
ΔH_f (0 K)   0.098 eV per atom

The structure in POSCAR format:
```
TbNd2Dy3
1.0
5.6016 0.0000 0.0000
-2.8008 8.4737 -1.1881
0.0000 -4.5525 8.9832
Dy Nd Tb
6 4 2
Cartesian
2.8008 -1.0746 5.6339
0.0000 4.9958 2.1612
2.8008 4.8940 4.3724
0.0000 -0.9728 3.4227
0.0000 2.3353 4.4684
2.8008 1.5859 3.3267
2.8008 -3.7488 7.6985
0.0000 -0.0808 7.2940
2.8008 4.0020 0.5011
0.0000 7.6699 0.0966
2.8008 2.2921 6.8781
0.0000 1.6291 0.9170
```



A relaxed structure of AcLa2AgC. Source: Alexandria, functional GGA-PBE.

Properties
ΔH_f (0 K)   -0.036 eV per atom

The structure in POSCAR format:
```
AcLa2AgC
1.0
-4.3103 2.0144 1.6548
0.7707 -2.0738 4.5318
2.8789 4.7693 1.6931
Ag Ac La C
1 1 2 1
Cartesian
-0.3068 2.3938 3.9538
2.1474 0.2070 5.3414
1.4430 3.6175 7.0219
3.2158 3.6521 3.9304
0.1393 0.2307 0.0819
```



A relaxed structure of BaHgW. Source: Alexandria, functional GGA-PBE.

Properties
Offset from the most stable computed form   162 meV per atom
ΔH_f (0 K)   1.142 eV per atom

The structure in POSCAR format:
```
BaHgW
1.0
3.1689 0.0000 0.0000
-1.5844 2.7443 0.0000
0.0000 0.0000 8.4176
W Hg Ba
1 1 1
Cartesian
0.0000 1.8296 5.4369
1.5844 0.9148 3.0710
0.0000 0.0000 8.3273
```



A relaxed structure of K4IrRh3O8. Source: Alexandria, functional GGA-PBE.

Properties
Formation energy without anion corrections   -1012 meV per atom

The structure in POSCAR format:
```
K4IrRh3O8
1.0
-2.4809 -6.0522 -0.1485
4.0829 -1.8008 5.1793
-3.9672 5.1435 0.7825
K Rh O Ir
4 3 8 1
Cartesian
0.0000 0.0000 0.0000
-1.2405 -3.0261 -0.0743
-1.9836 2.5717 0.3913
-3.2241 -0.4544 0.3170
0.8010 -3.9265 2.5154
-1.1826 -1.3548 2.9066
0.0579 1.6713 2.9809
-1.5771 2.3148 4.1542
-2.8190 -0.7148 4.0799
0.4538 -1.9947 1.7334
-1.5336 0.5770 2.1051
-0.8316 -3.2865 3.7082
-0.7881 -5.0243 1.6590
-2.7740 -2.4496 2.0508
0.4088 -0.2599 3.7625
2.0414 -0.9004 2.5896
```



A relaxed structure of KHg2As2. Source: Alexandria, functional GGA-PBE.

Properties
Offset from the most stable computed form   203 meV per atom
ΔH_f (0 K)   0.082 eV per atom

The structure in POSCAR format:
```
KHg2As2
1.0
8.4862 0.0000 0.0000
0.0000 8.4862 0.0000
0.0000 0.0000 3.4603
K As Hg
2 4 4
Cartesian
0.0000 0.0000 0.0000
4.2431 4.2431 0.0000
3.0535 7.2966 0.0000
1.1896 3.0535 0.0000
5.4327 1.1896 0.0000
7.2966 5.4327 0.0000
5.5630 7.1663 1.7301
1.3199 5.5630 1.7301
7.1663 2.9232 1.7301
2.9232 1.3199 1.7301
```



A relaxed structure of TbPmSmTl. Source: Alexandria, functional GGA-PBE.

Properties
Offset from the most stable computed form   164 meV per atom
ΔH_f (0 K)   -0.029 eV per atom

The structure in POSCAR format:
```
TbPmSmTl
1.0
-4.1120 3.0174 2.1738
-3.5761 -2.3293 3.5390
0.1143 1.3822 5.3680
Tb Pm Sm Tl
1 1 1 1
Cartesian
0.0000 0.0000 0.0000
-5.6803 1.5527 8.3106
-3.7869 1.0352 5.5404
-1.8934 0.5176 2.7702
```



A relaxed structure of Dy4SeI5. Source: Alexandria, functional GGA-PBE.

Properties
Formation energy without anion corrections   -1248 meV per atom

The structure in POSCAR format:
```
Dy4SeI5
1.0
-1.7870 3.1135 -2.0069
-7.2257 -0.9502 4.9599
6.2359 4.6495 5.8749
I Se Dy
5 1 4
Cartesian
1.2809 5.4313 3.0714
-2.1176 5.1103 5.5996
-4.0577 1.3816 5.7565
-0.6592 1.7025 3.2283
-4.5063 1.0817 1.4765
-0.8935 1.5568 -1.0034
0.2023 3.3065 0.7354
-2.9791 3.5063 8.0925
-5.6842 -0.7124 3.9563
2.9074 7.5252 4.8716
```



Going through the records in order, we get E values of -4.131, -4.456, -3.796, -5.255, -5.287, -2.036, -4.564, -5.244, -3.918, -5.698, -2.118, -4.146, -4.213 eV per atom.